Version i
VASP calculation (PBE-GGA) on an optimized crystal structure of CsBaNb.

Computed properties:
The mass density comes out at 4.02 g/cm3. Its symmetry is No. 2. The calculation puts the size of the total moment at 0.00 μB per formula unit.

extended XYZ file:
```
6
Lattice="9.8856 0.0132 -0.0228 -2.1418 8.3157 -0.0151 0.6832 -0.2624 3.6497" Properties=species:S:1:pos:R:3 pbc="T T T"
Cs 6.5838 4.4800 3.2537
Cs 1.8433 3.5864 0.3581
Nb 4.9646 0.8514 1.3338
Nb 3.4624 7.2150 2.2779
Ba 0.0135 7.5322 0.4809
Ba 8.4136 0.5343 3.1308
```

Version ii
VASP calculation (PBE-GGA) on an optimized crystal structure of CsBaNb.

Computed properties:
The mass density comes out at 3.32 g/cm3. Its symmetry is No. 1. The calculation puts the size of the total moment at 0.00 μB per formula unit.

extended XYZ file:
```
12
Lattice="-11.5778 4.9221 -4.8513 -1.3812 -4.2210 1.2095 0.8513 0.9025 12.9267" Properties=species:S:1:pos:R:3 pbc="T T T"
Cs -0.5829 -1.4777 7.2807
Cs -1.2870 -2.3007 12.2448
Cs -4.5263 -1.1955 3.8300
Cs -8.8876 -0.1877 2.2883
Nb -6.8966 3.7332 9.5222
Nb -6.8873 1.0577 8.9545
Nb -8.9850 1.2648 -1.5187
Nb -9.2563 1.8973 9.2187
Ba -5.7290 0.2789 -1.2626
Ba -10.9931 4.2011 -2.3139
Ba -7.8830 3.0643 6.0744
Ba -3.8405 2.1468 7.4731
```

Version iii
VASP calculation (PBE-GGA) on an optimized crystal structure of CsBaNb.

Computed properties:
The mass density comes out at 3.66 g/cm3. Its symmetry is No. 1. The calculation puts the size of the total moment at 0.73 μB per formula unit.

extended XYZ file:
```
12
Lattice="13.8187 0.0992 0.0455 0.6560 4.2792 0.0331 -5.9562 2.9819 11.1733" Properties=species:S:1:pos:R:3 pbc="T T T"
Cs 3.3809 5.2731 5.4399
Cs 5.7904 2.8077 1.1909
Cs 7.7675 4.6450 5.5454
Cs 0.3045 1.4230 1.9481
Nb -0.8879 3.7684 5.1749
Nb -0.2455 5.8467 6.7779
Nb 3.5931 5.2247 10.8333
Nb 10.9692 1.9775 5.3784
Ba 1.3944 3.3852 8.8572
Ba 5.6147 2.7356 9.4883
Ba -2.9316 4.0580 8.2252
Ba 10.5846 4.2526 2.3550
```

Of them, version i has the lowest stability.

Version i
VASP calculation (PBE-GGA) on an optimized crystal structure of CsBaNb.

Computed properties:
The mass density comes out at 3.51 g/cm3. Its symmetry is No. 216. The calculation puts the size of the total moment at 5.98 μB per formula unit.

extended XYZ file:
```
3
Lattice="-2.5270 -5.6427 0.8413 -2.7507 -1.4100 5.4203 -6.2014 -0.6310 0.2803" Properties=species:S:1:pos:R:3 pbc="T T T"
Cs -2.8698 -1.9209 1.6355
Nb -5.7395 -3.8418 3.2709
Ba -8.6093 -5.7628 4.9064
```

Version ii
VASP calculation (PBE-GGA) on an optimized crystal structure of CsBaNb.

Computed properties:
The mass density comes out at 4.32 g/cm3. Its symmetry is No. 1. The calculation puts the size of the total moment at 0.22 μB per formula unit.

extended XYZ file:
```
6
Lattice="-1.0306 3.6773 0.3733 -3.5275 -1.0899 0.9913 7.6483 -2.9960 17.5505" Properties=species:S:1:pos:R:3 pbc="T T T"
Cs -2.0507 1.5047 1.5823
Cs -0.5782 -0.1362 5.8031
Nb 3.7837 -1.4734 12.5742
Nb 1.2468 -0.1626 12.3607
Ba 2.8460 -1.4124 9.3107
Ba 2.1870 -0.2257 15.6231
```

Of them, version i has the lowest stability.

Version i
VASP calculation (PBE-GGA) on an optimized crystal structure of CsBaNb3.

Computed properties:
The mass density comes out at 6.32 g/cm3. Its symmetry is No. 221. The calculation puts the size of the total moment at 0.00 μB per formula unit.

extended XYZ file:
```
5
Lattice="5.2456 0.0000 0.0000 0.0000 5.2456 0.0000 0.0000 0.0000 5.2456" Properties=species:S:1:pos:R:3 pbc="T T T"
Cs 0.0000 0.0000 0.0000
Nb 0.0000 2.6228 0.0000
Nb 0.0000 0.0000 2.6228
Nb 2.6228 0.0000 0.0000
Ba 2.6228 2.6228 2.6228
```

Version ii
VASP calculation (PBE-GGA) on an optimized crystal structure of CsBaNb3.

Computed properties:
The mass density comes out at 5.87 g/cm3. Its symmetry is No. 221. The calculation puts the size of the total moment at 1.32 μB per formula unit.

extended XYZ file:
```
5
Lattice="5.3761 0.0000 0.0000 0.0000 5.3761 0.0000 0.0000 0.0000 5.3761" Properties=species:S:1:pos:R:3 pbc="T T T"
Cs 2.6880 2.6880 2.6880
Ba 0.0000 0.0000 0.0000
Nb 0.0000 2.6880 0.0000
Nb 0.0000 0.0000 2.6880
Nb 2.6880 0.0000 0.0000
```

Of them, version ii has the lowest stability.

Version i
VASP calculation (PBE-GGA) on an optimized crystal structure of CsBa3Ni.

Computed properties:
The mass density comes out at 3.82 g/cm3. Its symmetry is No. 221. The calculation puts the size of the total moment at 0.00 μB per formula unit.

extended XYZ file:
```
5
Lattice="6.4019 0.0000 0.0000 0.0000 6.4019 0.0000 0.0000 0.0000 6.4019" Properties=species:S:1:pos:R:3 pbc="T T T"
Cs 0.0000 0.0000 0.0000
Ni 3.2009 3.2009 3.2009
Ba 0.0000 3.2009 0.0000
Ba 0.0000 0.0000 3.2009
Ba 3.2009 0.0000 0.0000
```

Version ii
VASP calculation (PBE-GGA) on an optimized crystal structure of CsBa3Ni.

Computed properties:
The mass density comes out at 3.70 g/cm3. Its symmetry is No. 221. The calculation puts the size of the total moment at 0.00 μB per formula unit.

extended XYZ file:
```
5
Lattice="-5.7203 -1.1295 2.8064 1.0803 -6.3699 -0.3617 2.8257 0.1488 5.8195" Properties=species:S:1:pos:R:3 pbc="T T T"
Cs -0.9072 -3.6753 4.1321
Ni 0.0000 0.0000 0.0000
Ba 0.5401 -3.1850 -0.1808
Ba 1.4128 0.0744 2.9098
Ba -2.8602 -0.5647 1.4032
```

Of them, version i has the lowest stability.

Version i
VASP calculation (PBE-GGA) on an optimized crystal structure of CsBaNi3.

Computed properties:
The mass density comes out at 5.60 g/cm3. Its symmetry is No. 221. The calculation puts the size of the total moment at 0.00 μB per formula unit.

extended XYZ file:
```
5
Lattice="5.0975 0.0000 0.0000 0.0000 5.0975 0.0000 0.0000 0.0000 5.0975" Properties=species:S:1:pos:R:3 pbc="T T T"
Cs 0.0000 0.0000 0.0000
Ni 0.0000 2.5488 0.0000
Ni 0.0000 0.0000 2.5488
Ni 2.5488 0.0000 0.0000
Ba 2.5488 2.5488 2.5488
```

Version ii
VASP calculation (PBE-GGA) on an optimized crystal structure of CsBaNi3.

Computed properties:
The mass density comes out at 4.65 g/cm3. Its symmetry is No. 221. The calculation puts the size of the total moment at 0.00 μB per formula unit.

extended XYZ file:
```
5
Lattice="-3.1705 -3.9619 -1.9127 3.7787 -1.2449 -3.6849 2.2531 -3.4872 3.4885" Properties=species:S:1:pos:R:3 pbc="T T T"
Cs 1.4307 -4.3470 -1.0546
Ni 1.8894 -0.6224 -1.8425
Ni 1.1266 -1.7436 1.7443
Ni -1.5852 -1.9809 -0.9564
Ba 0.0000 0.0000 0.0000
```

Of them, version ii has the lowest stability.

Version i
VASP calculation (PBE-GGA) on an optimized crystal structure of Cs2BaO2.

Computed properties:
The mass density comes out at 4.80 g/cm3. Its symmetry is No. 60. The calculation puts the size of the total moment at 0.00 μB per formula unit.

extended XYZ file:
```
20
Lattice="-1.8716 -0.7917 -6.7569 7.0989 0.4255 -2.0162 0.9898 -11.4543 1.0679" Properties=species:S:1:pos:R:3 pbc="T T T"
Cs 3.5972 -1.9084 -3.8496
Cs -0.2608 -2.2516 -3.9552
Cs 0.8535 -3.9214 -0.3842
Cs 2.8399 -4.3699 -7.0355
Cs 3.3772 -7.4506 -0.6697
Cs 5.3636 -7.8991 -7.3210
Cs 6.4779 -9.5689 -3.7500
Cs 2.6199 -9.9121 -3.8556
Ba 1.7290 0.0870 -0.6691
Ba 3.4983 -0.4532 -8.1040
Ba 4.9290 -5.7845 -4.1916
Ba 1.2881 -6.0360 -3.5136
O 6.6843 -0.9631 -3.1454
O 1.9779 -1.6653 -6.3141
O 3.1965 -4.5412 -2.6306
O 6.0312 -4.6308 -6.2188
O 0.1859 -7.1897 -1.4864
O 3.0207 -7.2793 -5.0746
O 4.2392 -10.1552 -1.3911
O -0.4672 -10.8574 -4.5598
```

Version ii
VASP calculation (PBE-GGA) on an optimized crystal structure of Cs2BaO2.

Computed properties:
The mass density comes out at 4.78 g/cm3. Its symmetry is No. 14. The calculation puts the size of the total moment at 0.07 μB per formula unit.

extended XYZ file:
```
20
Lattice="-7.2604 2.8709 0.0178 -2.7009 -6.8160 -2.3518 0.3721 -3.4541 9.5834" Properties=species:S:1:pos:R:3 pbc="T T T"
Cs -4.4670 -0.2926 -0.3729
Cs -0.8263 -1.7015 -0.3727
Cs -8.7628 -5.6977 7.6221
Cs -5.1221 -7.1067 7.6223
Cs -7.9339 -2.8365 1.5172
Cs -4.9661 -5.9433 0.9316
Cs -4.6231 -1.4559 6.3178
Cs -1.6552 -4.5628 5.7322
Ba -3.3781 -3.0138 2.6155
Ba -6.2111 -4.3854 4.6339
Ba -6.2160 0.4208 3.3142
Ba -3.3731 -7.8200 3.9352
O -7.8118 -4.8451 -0.7442
O -3.1420 -3.6568 0.1522
O -6.4472 -3.7425 7.0972
O -1.7773 -2.5542 7.9936
O -5.6872 -2.1434 3.4421
O -1.4143 -1.9568 3.9928
O -8.1749 -5.4424 3.2565
O -3.9020 -5.2559 3.8073
```

Of them, version i has the lowest stability.

Version i
VASP calculation (PBE-GGA) on an optimized crystal structure of CsBa2P2.

Computed properties:
The mass density comes out at 3.50 g/cm3. Its symmetry is No. 139. The calculation puts the size of the total moment at 0.00 μB per formula unit.

extended XYZ file:
```
5
Lattice="5.9702 0.0000 0.0000 0.0000 5.9702 0.0000 2.9851 2.9851 6.2447" Properties=species:S:1:pos:R:3 pbc="T T T"
Cs 0.0000 0.0000 0.0000
P 5.9702 2.9851 3.1224
P 2.9851 5.9702 3.1224
Ba 2.9851 2.9851 2.2074
Ba 5.9702 5.9702 4.0373
```

Version ii
VASP calculation (PBE-GGA) on an optimized crystal structure of CsBa2P2.

Computed properties:
The mass density comes out at 4.23 g/cm3. Its symmetry is No. 139. The calculation puts the size of the total moment at 0.00 μB per formula unit.

extended XYZ file:
```
5
Lattice="-1.8646 -1.7499 4.8631 -4.4505 -2.0848 -2.4566 -0.2404 -7.2160 0.4151" Properties=species:S:1:pos:R:3 pbc="T T T"
Cs 0.0000 0.0000 0.0000
P -2.5607 -3.0015 1.0420
P -3.9949 -8.0493 1.7796
Ba -2.6313 -5.4417 3.2407
Ba -3.9243 -5.6091 -0.4191
```

Of them, version ii has the lowest stability.

Version i
VASP calculation (PBE-GGA) on an optimized crystal structure of Cs2BaP.

Computed properties:
The mass density comes out at 4.58 g/cm3. Its symmetry is No. 225. The calculation puts the size of the total moment at 0.00 μB per formula unit.

extended XYZ file:
```
4
Lattice="0.0000 4.2850 4.2850 4.2850 0.0000 4.2850 4.2850 4.2850 0.0000" Properties=species:S:1:pos:R:3 pbc="T T T"
Cs 2.1425 2.1425 2.1425
Cs 6.4275 6.4275 6.4275
P 0.0000 0.0000 0.0000
Ba 4.2850 4.2850 4.2850
```

Version ii
VASP calculation (PBE-GGA) on an optimized crystal structure of Cs2BaP.

Computed properties:
The mass density comes out at 2.62 g/cm3. Its symmetry is No. 122. The calculation puts the size of the total moment at 0.00 μB per formula unit.

extended XYZ file:
```
8
Lattice="-12.4839 -4.5666 0.0330 1.0563 -2.9810 -12.9113 -4.6735 -6.6125 -5.6986" Properties=species:S:1:pos:R:3 pbc="T T T"
Cs -6.9473 -4.1880 -3.0229
Cs -3.9602 -4.7790 -9.4851
Cs -7.6304 -8.2414 -11.0596
Cs -13.6643 -11.1118 -13.5862
P -5.7138 -3.7738 -6.4391
P -4.6655 -6.6836 -12.5245
Ba 0.0000 0.0000 0.0000
Ba -11.4356 -7.4764 -6.0523
```

Of them, version i has the lowest stability.

Version i
VASP calculation (PBE-GGA) on an optimized crystal structure of CsBaP3.

Computed properties:
The mass density comes out at 2.94 g/cm3. Its symmetry is No. 221. The calculation puts the size of the total moment at 0.00 μB per formula unit.

extended XYZ file:
```
5
Lattice="5.8980 0.0000 0.0000 0.0000 5.8980 0.0000 0.0000 0.0000 5.8980" Properties=species:S:1:pos:R:3 pbc="T T T"
Cs 2.9490 2.9490 2.9490
P 0.0000 2.9490 0.0000
P 0.0000 0.0000 2.9490
P 2.9490 0.0000 0.0000
Ba 0.0000 0.0000 0.0000
```

Version ii
VASP calculation (PBE-GGA) on an optimized crystal structure of CsBaP3.

Computed properties:
The mass density comes out at 3.63 g/cm3. Its symmetry is No. 221. The calculation puts the size of the total moment at 0.00 μB per formula unit.

extended XYZ file:
```
5
Lattice="-3.6119 4.1218 -0.4514 -3.7844 -3.5215 -1.8750 -1.6945 -0.9209 5.1497" Properties=species:S:1:pos:R:3 pbc="T T T"
Cs 0.0000 0.0000 0.0000
P -1.8922 -1.7608 -0.9375
P -0.8473 -0.4605 2.5748
P -1.8059 2.0609 -0.2257
Ba -4.5454 -0.1603 1.4116
```

Of them, version ii has the lowest stability.

Version i
VASP calculation (PBE-GGA) on an optimized crystal structure of CsBaPS2.

Computed properties:
The mass density comes out at 3.38 g/cm3. Its symmetry is No. 123. The calculation puts the size of the total moment at 2.14 μB per formula unit.

extended XYZ file:
```
5
Lattice="5.7244 0.0000 0.0000 0.0000 5.7244 0.0000 0.0000 0.0000 5.4836" Properties=species:S:1:pos:R:3 pbc="T T T"
Cs 0.0000 0.0000 0.0000
P 0.0000 0.0000 2.7418
S 0.0000 2.8622 0.0000
S 2.8622 0.0000 0.0000
Ba 2.8622 2.8622 2.7418
```

Version ii
VASP calculation (PBE-GGA) on an optimized crystal structure of CsBaPS2.

Computed properties:
The mass density comes out at 2.61 g/cm3. Its symmetry is No. 123. The calculation puts the size of the total moment at 4.04 μB per formula unit.

extended XYZ file:
```
5
Lattice="6.0427 0.0000 0.0000 0.0000 6.0427 0.0000 0.0000 0.0000 6.3555" Properties=species:S:1:pos:R:3 pbc="T T T"
Cs 3.0213 3.0213 3.1777
P 0.0000 0.0000 3.1777
S 0.0000 3.0213 0.0000
S 3.0213 0.0000 0.0000
Ba 0.0000 0.0000 0.0000
```

Of them, version i has the lowest stability.

Version i
VASP calculation (PBE-GGA) on an optimized crystal structure of CsBa3Pb.

Computed properties:
The mass density comes out at 4.75 g/cm3. Its symmetry is No. 221. The calculation puts the size of the total moment at 0.00 μB per formula unit.

extended XYZ file:
```
5
Lattice="-4.4812 4.0699 -2.0949 -4.5020 -4.4487 0.9875 -0.8275 2.1631 5.9725" Properties=species:S:1:pos:R:3 pbc="T T T"
Pb -4.9054 0.8921 2.4325
Cs 0.0000 0.0000 0.0000
Ba -2.2510 -2.2244 0.4937
Ba -0.4138 1.0816 2.9862
Ba -2.2406 2.0350 -1.0475
```

Version ii
VASP calculation (PBE-GGA) on an optimized crystal structure of CsBa3Pb.

Computed properties:
The mass density comes out at 3.62 g/cm3. Its symmetry is No. 221. The calculation puts the size of the total moment at 0.00 μB per formula unit.

extended XYZ file:
```
5
Lattice="7.0143 0.0000 0.0000 0.0000 7.0143 0.0000 0.0000 0.0000 7.0143" Properties=species:S:1:pos:R:3 pbc="T T T"
Pb 0.0000 0.0000 0.0000
Cs 3.5072 3.5072 3.5072
Ba 0.0000 3.5072 0.0000
Ba 0.0000 0.0000 3.5072
Ba 3.5072 0.0000 0.0000
```

Of them, version i has the lowest stability.

Version i
VASP calculation (PBE-GGA) on an optimized crystal structure of CsBaPb.

Computed properties:
The mass density comes out at 5.33 g/cm3. Its symmetry is No. 46. The calculation puts the size of the total moment at 0.00 μB per formula unit.

extended XYZ file:
```
18
Lattice="-7.2028 2.3331 -3.1013 -7.9740 -8.0209 1.6932 -7.3205 2.8114 8.3243" Properties=species:S:1:pos:R:3 pbc="T T T"
Cs -12.8869 -5.8926 4.7982
Cs -9.0189 2.8245 2.3726
Cs -9.3455 -2.5906 -0.9447
Cs -12.5617 -0.4770 8.1149
Cs -13.1129 1.9200 4.2536
Cs -13.4292 -3.4863 0.9210
Pb -10.9970 -1.5198 3.5664
Pb -3.3497 1.0850 -1.4423
Pb -15.5899 -3.7418 7.6535
Pb -2.4771 -0.5697 1.1702
Pb -10.1240 -3.1704 6.1815
Pb -7.9428 -1.1411 2.6423
Ba -9.5018 -4.7671 2.6260
Ba -9.1718 0.6521 5.9365
Ba -14.3917 -1.9838 4.6419
Ba -11.9134 0.3407 0.6347
Ba -19.5615 -2.2793 5.6341
Ba -6.7436 0.6362 -0.3575
```

Version ii
VASP calculation (PBE-GGA) on an optimized crystal structure of CsBaPb.

Computed properties:
The mass density comes out at 4.71 g/cm3. Its symmetry is No. 107. The calculation puts the size of the total moment at 0.00 μB per formula unit.

extended XYZ file:
```
3
Lattice="-0.0245 -4.1475 -1.8011 2.7573 1.4138 -3.2931 5.1569 -0.6647 7.1367" Properties=species:S:1:pos:R:3 pbc="T T T"
Pb 4.1339 -1.2874 2.9084
Cs 7.4740 -3.2690 1.7500
Ba 4.1714 -2.2404 -0.5736
```

Of them, version i has the lowest stability.